La5Pm4Hg4 after structural relaxation. Source: Alexandria via LeMat-Bulk, functional GGA-PBE.

Results
Energy of formation from the pure elements (meV/atom): -309
Total magnetization (μB per cell): 0.00
Total energy (eV per atom): -3.76

Unit cell a=9.2726 b=9.2726 c=9.2726 alpha=94.71 beta=94.71 gamma=146.70
Fractional coordinates of all 13 atoms:
La  0.0000  0.0000  0.0000
La  0.3125  0.6201  0.9326
La  0.3799  0.3125  0.6923
La  0.6201  0.6875  0.3077
La  0.6875  0.3799  0.0674
Pm  0.0950  0.3930  0.4880
Pm  0.3930  0.9050  0.2980
Pm  0.6070  0.0950  0.7020
Pm  0.9050  0.6070  0.5120
Hg  0.0948  0.7609  0.8557
Hg  0.2391  0.0948  0.3340
Hg  0.7609  0.9052  0.6660
Hg  0.9052  0.2391  0.1443